SiTeO3: relaxed, PBE.

Cell: 3.712 3.712 3.712 Å, 90.00 90.00 90.00°
Space group Pm-3m (No. 221)
One atom of each set of equivalent atoms:
Si 0.000 0.000 0.000 x1
Te 0.500 0.500 0.500 x1
O 0.000 0.000 0.500 x3

Calculated values
Its uncorrected formation energy is -5.0 eV per formula unit.

---

SiTeO2: relaxed, PBE.

Cell: 3.0239 3.0239 20.9100 Å, 90.00 90.00 120.00°
Space group R-3m (No. 166, hexagonal axes)
One atom of each set of equivalent atoms:
Si 0.0000 0.0000 0.0000 x3
Te 0.0000 0.0000 0.5000 x3
O 0.0000 0.0000 0.0797 x6

Calculated values
Its energy above the most stable polymorph in this dataset is 1.036 eV per atom. Its uncorrected formation energy is -2.0 eV per formula unit.